[1]
VASP calculation (PBE-GGA) on a geometry-optimized K3ZrCd structure.

Unit cell a=6.862 b=6.862 c=6.862 alpha=90.00 beta=90.00 gamma=90.00
Element x y z (fractional)
K 0.000 0.000 0.500
K 0.000 0.500 0.000
K 0.500 0.000 0.000
Zr 0.000 0.000 0.000
Cd 0.500 0.500 0.500

Calculated values
Polymorph energy (0 for the lowest one): 0.070 eV per atom
Calculated formation energy: 1046 meV per atom
D(E_F): 0.258 states/eV/atom



[2]
VASP calculation (PBE-GGA) on a geometry-optimized NbCuAg2Se4 structure.

Unit cell a=8.120 b=7.247 c=6.963 alpha=90.00 beta=90.00 gamma=90.00
Element x y z (fractional)
Nb 0.000 0.167 0.000
Nb 0.500 0.833 0.500
Cu 0.000 0.834 0.508
Cu 0.500 0.166 0.008
Ag 0.248 0.316 0.524
Ag 0.252 0.684 0.024
Ag 0.748 0.684 0.024
Ag 0.752 0.316 0.524
Se 0.000 0.137 0.347
Se 0.000 0.861 0.856
Se 0.247 0.669 0.403
Se 0.253 0.331 0.903
Se 0.500 0.139 0.356
Se 0.500 0.863 0.847
Se 0.747 0.331 0.903
Se 0.753 0.669 0.403

Calculated values
Energy relative to the elements, uncorrected: -0.3378 eV per atom



[3]
VASP calculation (PBE-GGA) on a geometry-optimized Fe2CuAs structure.

Unit cell a=4.435 b=4.435 c=2.735 alpha=90.00 beta=90.00 gamma=109.42
Element x y z (fractional)
Fe 0.000 0.500 0.000
Fe 0.500 0.000 0.000
Cu 0.000 0.000 0.500
As 0.500 0.500 0.500

Calculated values
Calculated formation energy: 165 meV per atom
D(E_F): 0.890 states/eV/atom



[4]
VASP calculation (PBE-GGA) on a geometry-optimized CaTa2Sn structure.

Unit cell a=6.483 b=6.483 c=6.483 alpha=101.13 beta=101.13 gamma=127.87
Element x y z (fractional)
Ca 0.000 0.000 0.000
Ca 0.750 0.250 0.500
Ta 0.162 0.625 0.037
Ta 0.375 0.412 0.537
Ta 0.588 0.125 0.963
Ta 0.875 0.838 0.463
Sn 0.250 0.750 0.500
Sn 0.500 0.500 0.000

Calculated values
Calculated formation energy: 907 meV per atom
D(E_F): 0.994 states/eV/atom



[5]
VASP calculation (PBE-GGA) on a geometry-optimized Ac2Pm4Bi3N2 structure.

Unit cell a=14.016 b=14.016 c=14.016 alpha=159.86 beta=159.86 gamma=28.64
Element x y z (fractional)
Ac 0.191 0.191 0.000
Ac 0.809 0.809 0.000
Pm 0.081 0.581 0.500
Pm 0.419 0.919 0.500
Pm 0.581 0.081 0.500
Pm 0.919 0.419 0.500
Bi 0.326 0.326 0.000
Bi 0.500 0.500 0.000
Bi 0.674 0.674 0.000
N 0.100 0.100 0.000
N 0.900 0.900 0.000

Calculated values
Energy relative to the elements, uncorrected: -1.0330 eV per atom
D(E_F): 0.557 states/eV/atom



[6]
VASP calculation (PBE-GGA) on a geometry-optimized MgCd2Au2 structure.

Unit cell a=7.432 b=7.432 c=7.432 alpha=148.96 beta=148.96 gamma=44.47
Element x y z (fractional)
Mg 0.000 0.000 0.000
Cd 0.250 0.750 0.500
Cd 0.750 0.250 0.500
Au 0.403 0.403 0.000
Au 0.597 0.597 0.000

Calculated values
Polymorph energy (0 for the lowest one): 0.138 eV per atom
Calculated formation energy: -184 meV per atom
D(E_F): 0.320 states/eV/atom



What did the third record say?
VASP calculation (PBE-GGA) on a geometry-optimized Fe2CuAs structure.

Unit cell a=4.435 b=4.435 c=2.735 alpha=90.00 beta=90.00 gamma=109.42
Element x y z (fractional)
Fe 0.000 0.500 0.000
Fe 0.500 0.000 0.000
Cu 0.000 0.000 0.500
As 0.500 0.500 0.500

Calculated values
Calculated formation energy: 165 meV per atom
D(E_F): 0.890 states/eV/atom



Repeat the sixth record exactly.
VASP calculation (PBE-GGA) on a geometry-optimized MgCd2Au2 structure.

Unit cell a=7.432 b=7.432 c=7.432 alpha=148.96 beta=148.96 gamma=44.47
Element x y z (fractional)
Mg 0.000 0.000 0.000
Cd 0.250 0.750 0.500
Cd 0.750 0.250 0.500
Au 0.403 0.403 0.000
Au 0.597 0.597 0.000

Calculated values
Polymorph energy (0 for the lowest one): 0.138 eV per atom
Calculated formation energy: -184 meV per atom
D(E_F): 0.320 states/eV/atom